[1]
DFT (PBE-GGA) results for an optimized crystal structure of Hg5Te. Values from VASP.

Summary:
Its space-group type is Cmmm (65). Its density of states at the Fermi level is 1.1 states/eV/f.u. For the total magnetic moment, the calculation gives 0.0 μB per formula unit. As for the formation energy without anion corrections: 0.0105 eV/atom. The value obtained for the offset from the most stable computed form is 0.000 eV/atom.

Quantum ESPRESSO input file:
```
&SYSTEM
  ibrav = 0, nat = 6, ntyp = 2
/
ATOMIC_SPECIES
Te 127.60 Te.upf
Hg 200.59 Hg.upf
CELL_PARAMETERS angstrom
4.3707 0.0000 0.0000
0.0000 4.2197 0.0000
0.0000 -2.1098 9.5491
ATOMIC_POSITIONS crystal
Te 0.0000 0.0000 0.0000
Hg 0.5000 0.8372 0.6744
Hg 0.0000 0.6684 0.3367
Hg 0.5000 0.5000 0.0000
Hg 0.0000 0.3316 0.6633
Hg 0.5000 0.1628 0.3256
```

---

[2]
DFT (PBE-GGA) results for an optimized crystal structure of Hg3Te. Values from VASP.

Summary:
Its space-group type is Pm-3m (221). Its density of states at the Fermi level is 3.3 states/eV/f.u. For the total magnetic moment, the calculation gives 0.0 μB per formula unit. As for the formation energy without anion corrections: 0.1806 eV/atom. The value obtained for the offset from the most stable computed form is 0.191 eV/atom.

Quantum ESPRESSO input file:
```
&SYSTEM
  ibrav = 0, nat = 4, ntyp = 2
/
ATOMIC_SPECIES
Hg 200.59 Hg.upf
Te 127.60 Te.upf
CELL_PARAMETERS angstrom
4.7697 0.0000 0.0000
0.0000 4.7697 0.0000
0.0000 0.0000 4.7697
ATOMIC_POSITIONS crystal
Hg 0.0000 0.5000 0.5000
Hg 0.5000 0.0000 0.5000
Hg 0.5000 0.5000 0.0000
Te 0.0000 0.0000 0.0000
```

---

[3]
DFT (PBE-GGA) results for an optimized crystal structure of HgTe. Values from VASP.

Summary:
Its space-group type is P2_1/m (11). Its density of states at the Fermi level is 1.0 states/eV/f.u. For the total magnetic moment, the calculation gives 0.0 μB per formula unit. As for the formation energy without anion corrections: 0.0544 eV/atom.

Quantum ESPRESSO input file:
```
&SYSTEM
  ibrav = 0, nat = 4, ntyp = 2
/
ATOMIC_SPECIES
Hg 200.59 Hg.upf
Te 127.60 Te.upf
CELL_PARAMETERS angstrom
-1.1467 -4.1889 0.6628
1.9621 -0.1539 2.4218
-7.8926 2.7220 3.5484
ATOMIC_POSITIONS crystal
Hg 0.0000 0.0350 0.9907
Hg 0.5000 0.7150 0.7593
Te 0.0000 0.4792 0.5104
Te 0.5000 0.2708 0.2396
```

---

[4]
DFT (PBE-GGA) results for an optimized crystal structure of HgTe. Values from VASP.

Summary:
Its space-group type is Cm (8). Its density of states at the Fermi level is 0.6 states/eV/f.u. For the total magnetic moment, the calculation gives 0.0 μB per formula unit. As for the formation energy without anion corrections: 0.0468 eV/atom.

Quantum ESPRESSO input file:
```
&SYSTEM
  ibrav = 0, nat = 6, ntyp = 2
/
ATOMIC_SPECIES
Hg 200.59 Hg.upf
Te 127.60 Te.upf
CELL_PARAMETERS angstrom
6.1224 -2.3222 -1.6141
6.5258 -1.1812 1.2251
0.5407 -8.7590 3.4432
ATOMIC_POSITIONS crystal
Hg 0.0372 0.0372 0.0170
Hg 0.6713 0.6713 0.3840
Hg 0.5824 0.5824 0.7179
Te 0.3406 0.3406 0.6920
Te 0.9218 0.9218 0.3396
Te 0.2800 0.2800 0.0161
```

---

[5]
DFT (PBE-GGA) results for an optimized crystal structure of Hg3Te4. Values from VASP.

Summary:
Its space-group type is I4/mmm (139). Its density of states at the Fermi level is 3.5 states/eV/f.u. For the total magnetic moment, the calculation gives 0.0 μB per formula unit. As for the formation energy without anion corrections: 0.0979 eV/atom. The value obtained for the offset from the most stable computed form is 0.000 eV/atom.

Quantum ESPRESSO input file:
```
&SYSTEM
  ibrav = 0, nat = 7, ntyp = 2
/
ATOMIC_SPECIES
Hg 200.59 Hg.upf
Te 127.60 Te.upf
CELL_PARAMETERS angstrom
-2.0432 2.0432 16.0041
2.0432 -2.0432 16.0041
2.0432 2.0432 -16.0041
ATOMIC_POSITIONS crystal
Hg 0.0000 0.0000 0.0000
Hg 0.7233 0.7233 0.0000
Hg 0.2767 0.2767 0.0000
Te 0.8732 0.8732 0.0000
Te 0.1268 0.1268 0.0000
Te 0.5982 0.5982 0.0000
Te 0.4018 0.4018 0.0000
```

---

[6]
DFT (PBE-GGA) results for an optimized crystal structure of HgTe. Values from VASP.

Summary:
Its space-group type is P-3m1 (164). Its density of states at the Fermi level is 0.2 states/eV/f.u. For the total magnetic moment, the calculation gives 0.0 μB per formula unit. As for the formation energy without anion corrections: 0.1159 eV/atom.

Quantum ESPRESSO input file:
```
&SYSTEM
  ibrav = 0, nat = 12, ntyp = 2
/
ATOMIC_SPECIES
Te 127.60 Te.upf
Hg 200.59 Hg.upf
CELL_PARAMETERS angstrom
-3.1033 3.8441 0.5611
-1.3878 -3.9430 -2.6925
-7.6774 -8.6174 16.5768
ATOMIC_POSITIONS crystal
Te 0.0000 0.0000 0.3057
Te 0.0000 0.0000 0.6943
Te 0.3333 0.6667 0.6555
Te 0.3333 0.6667 0.9795
Te 0.6667 0.3333 0.0205
Te 0.6667 0.3333 0.3445
Hg 0.0000 0.0000 0.1186
Hg 0.0000 0.0000 0.8814
Hg 0.3333 0.6667 0.4582
Hg 0.3333 0.6667 0.1853
Hg 0.6667 0.3333 0.8147
Hg 0.6667 0.3333 0.5418
```